Below is a relaxed structure of CaMgTe2, with properties calculated at the GGA-PBE level.

```
CaMgTe2
1.0
5.4696 0.0000 0.0000
2.7348 4.7368 0.0000
2.7348 1.5789 4.4659
Ca Mg Te
1 1 2
Cartesian
5.4696 3.1579 2.2329 Ca
8.2044 4.7368 3.3494 Mg
0.0000 0.0000 0.0000 Te
2.7348 1.5789 1.1165 Te
```

Calculated values
- ΔE_f (raw) (kJ/mol of formula units) = -144

Below is a relaxed structure of CaMgTe2, with properties calculated at the GGA-PBE level.

```
CaMgTe2
1.0
-5.2491 2.7263 4.7580
-6.5688 -0.9715 3.6785
2.0960 -1.7077 3.2870
Ca Mg Te
1 1 2
Cartesian
-4.1613 -0.2577 5.9699 Ca
-2.3738 0.1827 2.2763 Mg
-0.1362 -0.1574 0.7058 Te
-7.9115 0.3032 8.6334 Te
```

Calculated values
- ΔE_f (raw) (kJ/mol of formula units) = -428

Below is a relaxed structure of CaMgTe2, with properties calculated at the GGA-PBE level.

```
CaMgTe2
1.0
4.3904 0.0000 0.0000
0.0000 4.3904 0.0000
0.0000 0.0000 6.2229
Ca Te Mg
1 2 1
Cartesian
0.0000 0.0000 2.3370 Ca
0.0000 0.0000 5.4479 Te
2.1952 2.1952 2.3355 Te
2.1952 2.1952 5.4369 Mg
```

Calculated values
- ΔE_f (raw) (kJ/mol of formula units) = -458

Below is a relaxed structure of CaMgTe2, with properties calculated at the GGA-PBE level.

```
CaMgTe2
1.0
7.8729 0.0002 0.0017
5.7780 5.3477 -0.0017
-6.8106 -2.7118 2.8713
Ca Mg Te
1 1 2
Cartesian
6.2420 2.4454 0.0000 Ca
2.2825 2.4144 1.4348 Mg
0.6910 0.2707 0.0000 Te
4.4501 0.1795 1.4365 Te
```

Calculated values
- ΔE_f (raw) (kJ/mol of formula units) = -399

Below is a relaxed structure of CaMgTe2, with properties calculated at the GGA-PBE level.

```
CaMgTe2
1.0
5.8435 -0.0439 0.0642
-0.0718 5.8432 -0.0642
-1.5980 -4.1813 3.7570
Ca Mg Te
1 1 2
Cartesian
3.5656 -0.6628 1.9106 Ca
0.6080 2.2808 1.8464 Mg
0.1297 0.1303 0.0000 Te
2.7561 2.7693 0.0000 Te
```

Calculated values
- ΔE_f (raw) (kJ/mol of formula units) = -351

Below is a relaxed structure of CaMgTe2, with properties calculated at the GGA-PBE level.

```
CaMgTe2
1.0
-3.4215 1.9359 1.9103
-0.9983 -0.9290 4.1526
2.7756 5.6634 4.2364
Ca Te Mg
1 2 1
Cartesian
-1.2332 5.0028 7.7244 Ca
-4.3354 1.1133 6.1074 Te
-0.9065 3.2289 5.1050 Te
-0.4111 1.6676 2.5748 Mg
```

Calculated values
- ΔE_f (raw) (kJ/mol of formula units) = -470

Below is a relaxed structure of CaMg3Te, with properties calculated at the GGA-PBE level.

```
CaMg3Te
1.0
5.9525 0.0000 0.0000
0.0000 5.9525 0.0000
0.0000 0.0000 5.9525
Ca Te Mg
1 1 3
Cartesian
0.0000 0.0000 0.0000 Ca
2.9762 2.9762 2.9762 Te
0.0000 2.9762 0.0000 Mg
0.0000 0.0000 2.9762 Mg
2.9762 0.0000 0.0000 Mg
```

Calculated values
- ΔE_f (raw) (kJ/mol of formula units) = 364
- relative energy among the computed polymorphs (eV/f.u.) = 2.92

Below is a relaxed structure of CaMgTe2, with properties calculated at the GGA-PBE level.

```
CaMgTe2
1.0
-2.8436 1.9105 0.8605
-0.8818 -2.4050 2.4321
5.6472 5.1773 7.1671
Ca Mg Te
1 1 2
Cartesian
2.8383 2.6021 3.6022 Ca
2.4402 3.6976 7.1072 Mg
5.2307 4.7955 6.6386 Te
-0.1166 1.3536 3.8624 Te
```

Calculated values
- ΔE_f (raw) (kJ/mol of formula units) = -164

Below is a relaxed structure of CaMg3Te, with properties calculated at the GGA-PBE level.

```
CaMg3Te
1.0
-4.1747 -3.5984 0.8871
3.0994 -4.1224 -2.1360
2.0320 -1.1049 5.0807
Ca Te Mg
1 1 3
Cartesian
0.4783 -4.4128 1.9159 Ca
0.0000 0.0000 0.0000 Te
1.5497 -2.0612 -1.0680 Mg
1.0160 -0.5524 2.5404 Mg
-2.0874 -1.7992 0.4435 Mg
```

Calculated values
- ΔE_f (raw) (kJ/mol of formula units) = 81
- relative energy among the computed polymorphs (eV/f.u.) = 0.00

Below is a relaxed structure of CaMgTe2, with properties calculated at the GGA-PBE level.

```
CaMgTe2
1.0
4.3540 0.0000 0.0000
0.0000 6.2481 0.0000
0.0000 0.0000 8.7431
Ca Mg Te
2 2 4
Cartesian
0.0000 3.1241 7.6167 Ca
2.1770 0.0000 1.1264 Ca
2.1770 0.0000 5.4328 Mg
0.0000 3.1241 3.3103 Mg
0.0000 0.0000 7.5198 Te
0.0000 0.0000 3.4247 Te
2.1770 3.1241 5.3184 Te
2.1770 3.1241 1.2233 Te
```

Calculated values
- ΔE_f (raw) (kJ/mol of formula units) = -469

Below is a relaxed structure of Ca2MgTe2, with properties calculated at the GGA-PBE level.

```
Ca2MgTe2
1.0
-8.0878 2.1592 1.3536
-2.5417 -6.5074 -4.8063
-0.0899 -2.4254 3.3313
Ca Te Mg
4 4 2
Cartesian
-2.9394 -5.1306 -1.2649 Ca
-7.4777 -5.3167 -1.5229 Ca
-7.7800 -1.6430 1.1435 Ca
-3.2417 -1.4569 1.4016 Ca
-4.9484 -4.7581 -3.5977 Te
-8.5044 -2.4293 -1.9983 Te
-5.6811 0.4099 0.1450 Te
-2.1251 -1.9189 -1.4544 Te
0.0000 0.0000 0.0000 Mg
-5.3147 -2.1741 -1.7263 Mg
```

Calculated values
- ΔE_f (raw) (kJ/mol of formula units) = -511

Below is a relaxed structure of CaMgTe2, with properties calculated at the GGA-PBE level.

```
CaMgTe2
1.0
6.9655 0.0000 0.0000
0.0000 6.9655 0.0000
3.4827 3.4827 6.4803
Ca Te Mg
2 4 2
Cartesian
0.0000 0.0000 0.0000 Ca
6.9655 3.4827 3.2401 Ca
5.0109 1.7414 1.6201 Te
1.9545 5.2241 1.6201 Te
5.2241 5.4373 4.8602 Te
8.7068 8.4936 4.8602 Te
3.4827 3.4827 0.0000 Mg
3.4827 6.9655 3.2401 Mg
```

Calculated values
- ΔE_f (raw) (kJ/mol of formula units) = -426